(1)
Computed, not measured: NpNi4As after structural relaxation at the PBE level of DFT.

Unit cell a=6.922 b=3.746 c=6.575 alpha=90.00 beta=90.00 gamma=90.00
Atoms (fractional coordinates):
Np  0.250  0.000  0.146
Np  0.750  0.000  0.854
Ni  0.000  0.000  0.500
Ni  0.036  0.500  0.804
Ni  0.250  0.500  0.459
Ni  0.464  0.500  0.804
Ni  0.500  0.000  0.500
Ni  0.536  0.500  0.196
Ni  0.750  0.500  0.541
Ni  0.964  0.500  0.196
As  0.250  0.000  0.727
As  0.750  0.000  0.273

Results
DOS at the Fermi energy = 25.9 states/eV/cell
ρ = 10.65 g cm⁻³
Total magnetic moment = 2.781 μB per formula unit
Total DFT energy (no corrections) = -6.9165 eV per atom
Space group = No. 51
Calculated formation energy = -131 meV per atom

(2)
Computed, not measured: CdTcRh2 after structural relaxation at the PBE level of DFT.

Unit cell a=5.639 b=5.639 c=5.639 alpha=151.15 beta=131.73 gamma=57.21
Atoms (fractional coordinates):
Cd  0.000  0.000  0.000
Tc  0.727  0.227  0.500
Rh  0.278  0.778  0.500
Rh  0.515  0.515  0.000

Results
DOS at the Fermi energy = 2.5 states/eV/cell
ρ = 10.78 g cm⁻³
Total magnetic moment = 0.000 μB per formula unit
Total DFT energy (no corrections) = -6.3181 eV per atom
Space group = No. 44
Calculated formation energy = 178 meV per atom

(3)
Computed, not measured: Pm5Ge2Te after structural relaxation at the PBE level of DFT.

Unit cell a=8.983 b=8.983 c=8.983 alpha=126.88 beta=126.88 gamma=78.45
Atoms (fractional coordinates):
Pm  0.000  0.000  0.000
Pm  0.016  0.516  0.814
Pm  0.202  0.016  0.500
Pm  0.298  0.798  0.814
Pm  0.484  0.298  0.500
Pm  0.500  0.500  0.000
Pm  0.516  0.702  0.500
Pm  0.702  0.202  0.186
Pm  0.798  0.984  0.500
Pm  0.984  0.484  0.186
Ge  0.144  0.356  0.500
Ge  0.356  0.856  0.211
Ge  0.644  0.144  0.789
Ge  0.856  0.644  0.500
Te  0.250  0.250  0.000
Te  0.750  0.750  0.000

Results
DOS at the Fermi energy = 20.0 states/eV/cell
ρ = 7.38 g cm⁻³
Total magnetic moment = 1.894 μB per formula unit
Total DFT energy (no corrections) = -5.3326 eV per atom
Space group = No. 140
Raw formation energy = -6.531 eV/f.u.

(4)
Computed, not measured: AcAsPbS after structural relaxation at the PBE level of DFT.

Unit cell a=5.125 b=5.125 c=9.105 alpha=90.00 beta=90.00 gamma=90.00
Atoms (fractional coordinates):
Ac  0.250  0.250  0.157
Ac  0.750  0.750  0.843
As  0.250  0.250  0.672
As  0.750  0.750  0.328
Pb  0.250  0.750  0.500
Pb  0.750  0.250  0.500
S  0.250  0.750  0.000
S  0.750  0.250  0.000

Results
DOS at the Fermi energy = 2.3 states/eV/cell
ρ = 7.51 g cm⁻³
Total magnetic moment = 0.000 μB per formula unit
Total DFT energy (no corrections) = -5.1234 eV per atom
Space group = No. 129
Raw formation energy = -3.900 eV/f.u.

(5)
Computed, not measured: CaSc2TiNb after structural relaxation at the PBE level of DFT.

Unit cell a=4.937 b=4.937 c=4.849 alpha=90.00 beta=90.00 gamma=90.00
Atoms (fractional coordinates):
Ca  0.000  0.000  0.000
Sc  0.000  0.500  0.000
Sc  0.500  0.000  0.000
Ti  0.500  0.500  0.500
Nb  0.000  0.000  0.500

Results
DOS at the Fermi energy = 10.9 states/eV/cell
ρ = 3.80 g cm⁻³
Total magnetic moment = 0.009 μB per formula unit
Total DFT energy (no corrections) = -4.9250 eV per atom
Space group = No. 123
Calculated formation energy = 1601 meV per atom

(6)
Computed, not measured: ScPa3N4 after structural relaxation at the PBE level of DFT.

Unit cell a=5.984 b=6.856 c=5.929 alpha=90.00 beta=109.57 gamma=90.00
Atoms (fractional coordinates):
Sc  0.000  0.123  0.250
Sc  0.000  0.877  0.750
Pa  0.000  0.372  0.750
Pa  0.000  0.628  0.250
Pa  0.500  0.122  0.750
Pa  0.500  0.373  0.250
Pa  0.500  0.627  0.750
Pa  0.500  0.878  0.250
N  0.236  0.118  0.997
N  0.236  0.882  0.497
N  0.238  0.365  0.492
N  0.238  0.635  0.992
N  0.762  0.365  0.008
N  0.762  0.635  0.508
N  0.764  0.118  0.503
N  0.764  0.882  0.003

Results
DOS at the Fermi energy = 10.9 states/eV/cell
ρ = 11.51 g cm⁻³
Total magnetic moment = 0.000 μB per formula unit
Total DFT energy (no corrections) = -10.1733 eV per atom
Space group = No. 13
Raw formation energy = -13.265 eV/f.u.

(7)
Computed, not measured: MnOsAu2 after structural relaxation at the PBE level of DFT.

Unit cell a=9.384 b=9.384 c=9.384 alpha=17.36 beta=17.36 gamma=17.36
Atoms (fractional coordinates):
Mn  0.000  0.000  0.000
Os  0.500  0.500  0.500
Au  0.252  0.252  0.252
Au  0.748  0.748  0.748

Results
DOS at the Fermi energy = 4.0 states/eV/cell
ρ = 16.53 g cm⁻³
Total magnetic moment = 3.813 μB per formula unit
Total DFT energy (no corrections) = -6.3052 eV per atom
Space group = No. 166
Calculated formation energy = 433 meV per atom

(8)
Computed, not measured: Mn2FeCo after structural relaxation at the PBE level of DFT.

Unit cell a=4.712 b=4.712 c=2.454 alpha=100.70 beta=100.70 gamma=117.68
Atoms (fractional coordinates):
Mn  0.000  0.500  0.000
Mn  0.500  0.000  0.000
Fe  0.000  0.000  0.500
Co  0.500  0.500  0.500

Results
DOS at the Fermi energy = 5.6 states/eV/cell
ρ = 8.29 g cm⁻³
Total magnetic moment = 6.939 μB per formula unit
Total DFT energy (no corrections) = -8.3421 eV per atom
Space group = No. 12
Calculated formation energy = 135 meV per atom

(9)
Computed, not measured: MgH2Pd4 after structural relaxation at the PBE level of DFT.

Unit cell a=4.945 b=5.519 c=6.947 alpha=105.62 beta=109.67 gamma=91.31
Atoms (fractional coordinates):
Mg  0.000  0.000  0.000
Mg  0.389  0.887  0.435
H  0.272  0.470  0.699
H  0.858  0.485  0.363
H  0.871  0.377  0.779
H  0.906  0.031  0.327
Pd  0.180  0.500  0.028
Pd  0.218  0.389  0.414
Pd  0.409  0.800  0.822
Pd  0.558  0.291  0.825
Pd  0.597  0.189  0.210
Pd  0.768  0.702  0.208
Pd  0.808  0.600  0.620
Pd  0.969  0.087  0.615

Results
DOS at the Fermi energy = 4.0 states/eV/cell
ρ = 8.80 g cm⁻³
Total magnetic moment = 0.000 μB per formula unit
Total DFT energy (no corrections) = -4.4479 eV per atom
Space group = No. 1

(10)
Computed, not measured: MnZn2Co2 after structural relaxation at the PBE level of DFT.

Unit cell a=6.115 b=6.115 c=3.528 alpha=90.00 beta=90.00 gamma=90.00
Atoms (fractional coordinates):
Mn  0.000  0.000  0.000
Mn  0.500  0.500  0.000
Zn  0.169  0.331  0.500
Zn  0.331  0.831  0.500
Zn  0.669  0.169  0.500
Zn  0.831  0.669  0.500
Co  0.130  0.630  0.000
Co  0.370  0.130  0.000
Co  0.630  0.870  0.000
Co  0.870  0.370  0.000

Results
DOS at the Fermi energy = 6.4 states/eV/cell
ρ = 7.64 g cm⁻³
Total magnetic moment = 4.713 μB per formula unit
Total DFT energy (no corrections) = -5.0191 eV per atom
Space group = No. 127
Calculated formation energy = 167 meV per atom

(11)
Computed, not measured: CaIn2Pb2 after structural relaxation at the PBE level of DFT.

Unit cell a=8.400 b=8.400 c=8.400 alpha=148.90 beta=148.90 gamma=44.56
Atoms (fractional coordinates):
Ca  0.000  0.000  0.000
In  0.250  0.750  0.500
In  0.750  0.250  0.500
Pb  0.398  0.398  0.000
Pb  0.602  0.602  0.000

Results
DOS at the Fermi energy = 2.6 states/eV/cell
ρ = 7.20 g cm⁻³
Total magnetic moment = 0.000 μB per formula unit
Total DFT energy (no corrections) = -3.0845 eV per atom
Space group = No. 139
Calculated formation energy = -105 meV per atom

(12)
Computed, not measured: Ba2MoOs after structural relaxation at the PBE level of DFT.

Unit cell a=10.901 b=10.901 c=10.901 alpha=17.51 beta=17.51 gamma=17.51
Atoms (fractional coordinates):
Ba  0.244  0.244  0.244
Ba  0.756  0.756  0.756
Mo  0.000  0.000  0.000
Os  0.500  0.500  0.500

Results
DOS at the Fermi energy = 7.2 states/eV/cell
ρ = 9.10 g cm⁻³
Total magnetic moment = 0.005 μB per formula unit
Total DFT energy (no corrections) = -4.8148 eV per atom
Space group = No. 166
Calculated formation energy = 1662 meV per atom